Entry 1:
Computed, not measured: a geometry-optimized CeSnTe3 structure at the GGA-PBE level of DFT.

Unit cell a=8.268 b=7.965 c=11.082 alpha=90.00 beta=116.66 gamma=90.00
Atoms (fractional coordinates):
Ce 0.056 0.217 0.189
Ce 0.056 0.283 0.689
Ce 0.944 0.717 0.311
Ce 0.944 0.783 0.811
Sn 0.468 0.726 0.604
Sn 0.468 0.774 0.104
Sn 0.532 0.226 0.896
Sn 0.532 0.274 0.396
Te 0.129 0.595 0.118
Te 0.129 0.905 0.618
Te 0.230 0.078 0.988
Te 0.230 0.422 0.488
Te 0.311 0.603 0.838
Te 0.311 0.897 0.338
Te 0.689 0.103 0.662
Te 0.689 0.397 0.162
Te 0.770 0.578 0.512
Te 0.770 0.922 0.012
Te 0.871 0.095 0.382
Te 0.871 0.405 0.882

Summary:
The density of states at the Fermi level is 1.480 states/eV/atom. As for the crystal system: monoclinic. Its space-group type is P2_1/c (14). As for the uncorrected energy: -4.64 eV/atom. As for the formation energy (no corrections): -0.766 eV/atom. The relative energy among the computed polymorphs comes out at 0.013 eV/atom.

Entry 2:
Computed, not measured: a geometry-optimized CaPm3Er2Bi6 structure at the GGA-PBE level of DFT.

Unit cell a=10.146 b=10.146 c=9.086 alpha=102.56 beta=102.56 gamma=25.86
Atoms (fractional coordinates):
Ca 0.000 0.000 0.000
Pm 0.000 0.000 0.500
Pm 0.336 0.336 0.165
Pm 0.664 0.664 0.835
Er 0.333 0.333 0.667
Er 0.667 0.667 0.333
Bi 0.168 0.168 0.092
Bi 0.169 0.169 0.579
Bi 0.497 0.497 0.747
Bi 0.503 0.503 0.253
Bi 0.831 0.831 0.421
Bi 0.832 0.832 0.908

Summary:
As for the energy relative to the elements: -846 meV/atom. The density of states at the Fermi level is 0.312 states/eV/atom. As for the crystal system: monoclinic. Its space-group type is C2/m (12). As for the uncorrected energy: -4.90 eV/atom.